Here is a geometry-optimized Ce2GaSb structure from Alexandria. Energies are from PBE.

Theoretical density: 6.72 g/cm3
Formation energy without anion corrections: -694.0 meV per atom
Final energy: -5.448 eV/atom
Offset from the most stable computed form: 0.0 meV per atom
Space group: Cmcm, No. 63

Lattice parameters (Å, degrees): 12.053 12.053 4.312 90.00 90.00 158.17
Atoms (fractional coordinates):
Ce 0.058 0.942 0.750
Ce 0.322 0.678 0.750
Ce 0.678 0.322 0.250
Ce 0.942 0.058 0.250
Ga 0.463 0.537 0.750
Ga 0.537 0.463 0.250
Sb 0.189 0.811 0.750
Sb 0.811 0.189 0.250

Here is a geometry-optimized CeGaSb2 structure from Alexandria. Energies are from PBE.

Theoretical density: 7.62 g/cm3
Formation energy without anion corrections: -597.3 meV per atom
Final energy: -4.899 eV/atom
Offset from the most stable computed form: 0.0 meV per atom
Space group: P4/mmm, No. 123

Lattice parameters (Å, degrees): 4.723 4.723 4.428 90.00 90.00 90.00
Atoms (fractional coordinates):
Ce 0.000 0.000 0.000
Ga 0.500 0.500 0.000
Sb 0.000 0.500 0.500
Sb 0.500 0.000 0.500

Here is a geometry-optimized Ce6GaSb3 structure from Alexandria. Energies are from PBE.

Theoretical density: 7.66 g/cm3
Formation energy without anion corrections: -559.0 meV per atom
Final energy: -5.659 eV/atom
Space group: R-3m, No. 166

Lattice parameters (Å, degrees): 8.298 8.298 8.298 81.18 81.18 81.18
Atoms (fractional coordinates):
Ce 0.086 0.757 0.757
Ce 0.155 0.524 0.524
Ce 0.243 0.243 0.914
Ce 0.243 0.914 0.243
Ce 0.476 0.476 0.845
Ce 0.476 0.845 0.476
Ce 0.524 0.155 0.524
Ce 0.524 0.524 0.155
Ce 0.757 0.086 0.757
Ce 0.757 0.757 0.086
Ce 0.845 0.476 0.476
Ce 0.914 0.243 0.243
Ga 0.000 0.000 0.000
Ga 0.500 0.500 0.500
Sb 0.136 0.136 0.557
Sb 0.136 0.557 0.136
Sb 0.443 0.864 0.864
Sb 0.557 0.136 0.136
Sb 0.864 0.443 0.864
Sb 0.864 0.864 0.443